BiB3Sb | PBE | optimized geometry

a b c (Å): 4.710 4.710 4.710
angles (deg): 90.00 90.00 90.00
Space group Pm-3m (No. 221)
One atom of each set of equivalent atoms:
Bi  0.000  0.000  0.000
B  0.000  0.000  0.500
Sb  0.500  0.500  0.500

Summary:
ρ, g cm⁻³: 5.77
N(E_F), states/eV/cell: 2.004
Total DFT energy (no corrections), eV/cell: -16.5
E_form (uncorrected), kJ/mol of formula units: 1109.1